Record 1
Entry from Alexandria via LeMat-Bulk: a relaxed structure of PmFe2As2 (PBE).

The total energy comes out at -6.84 eV per atom.

It has space group I4/mmm (No. 139), with a = 3.998 Å, b = 3.998 Å, c = 10.293 Å, α = 90.00°, β = 90.00° and γ = 90.00°. The distinct sites, in fractional coordinates, are Pm at (0.000, 0.000, 0.000), Fe at (0.000, 0.500, 0.250) and As at (0.000, 0.000, 0.363).

Record 2
Entry from Alexandria via LeMat-Bulk: a relaxed structure of PmFeAs2 (PBE).

The total energy comes out at -5.93 eV per atom. The calculation puts the energy above the most stable polymorph in this dataset at 0.00 eV per formula unit.

It has space group P4/mmm (No. 123), with a = 4.577 Å, b = 4.577 Å, c = 3.820 Å, α = 90.00°, β = 90.00° and γ = 90.00°. The distinct sites, in fractional coordinates, are Pm at (0.000, 0.000, 0.000), Fe at (0.500, 0.500, 0.000) and As at (0.000, 0.500, 0.500).

Record 3
Entry from Alexandria via LeMat-Bulk: a relaxed structure of PmFeAs2 (PBE).

The total energy comes out at -5.53 eV per atom. The calculation puts the energy above the most stable polymorph in this dataset at 1.57 eV per formula unit.

It has space group R-3m (No. 166, hexagonal axes), with a = 4.2420 Å, b = 4.2420 Å, c = 23.7394 Å, α = 90.00°, β = 90.00° and γ = 120.00°. The distinct sites, in fractional coordinates, are Pm at (0.0000, 0.0000, 0.0000), Fe at (0.0000, 0.0000, 0.5000) and As at (0.0000, 0.0000, 0.4035).